K3Pr3UO8: optimized geometry, GGA-PBE.

Density (Mg/m³): 5.14
Energy relative to the elements, uncorrected (meV/atom): -2700
VASP energy (eV/atom): -7.272

Cell lengths 7.6491, 7.6491, 7.6491 Å; angles 56.72, 56.72, 56.72 degrees
Fractional coordinates of all 15 atoms:
K: 0.0000 0.5000 0.5000
K: 0.5000 0.0000 0.5000
K: 0.5000 0.5000 0.0000
Pr: 0.0000 0.0000 0.5000
Pr: 0.0000 0.5000 0.0000
Pr: 0.5000 0.0000 0.0000
U: 0.5000 0.5000 0.5000
O: 0.2309 0.2309 0.2309
O: 0.2544 0.7116 0.7116
O: 0.2884 0.2884 0.7456
O: 0.2884 0.7456 0.2884
O: 0.7116 0.2544 0.7116
O: 0.7116 0.7116 0.2544
O: 0.7456 0.2884 0.2884
O: 0.7691 0.7691 0.7691